1.
Compound: ErMg4Cd
Source: Alexandria
Functional: PBE
Structure: optimized geometry

Lattice parameters (Å, degrees): 3.443 3.443 11.956 90.00 90.00 89.97
Fractional coordinates of all 6 atoms:
Er: 0.000 0.000 0.000
Mg: 0.500 0.500 0.815
Mg: 0.500 0.500 0.185
Mg: 0.000 0.000 0.348
Mg: 0.000 0.000 0.652
Cd: 0.500 0.500 0.500

Its space group is P4/mmm (123).

2.
Compound: ErMg2Cd3
Source: Alexandria
Functional: PBE
Structure: optimized geometry

Lattice parameters (Å, degrees): 3.477 3.477 11.277 90.00 90.00 90.00
Fractional coordinates of all 6 atoms:
Er: 0.500 0.500 0.500
Mg: 0.500 0.500 0.842
Mg: 0.500 0.500 0.158
Cd: 0.000 0.000 0.000
Cd: 0.000 0.000 0.684
Cd: 0.000 0.000 0.316

Its space group is P4/mmm (123).

3.
Compound: ErMg2Cd2
Source: Alexandria
Functional: PBE
Structure: optimized geometry

Lattice parameters (Å, degrees): 4.281 4.280 7.252 106.94 107.17 90.00
Fractional coordinates of all 5 atoms:
Er: 0.000 0.000 0.000
Mg: 0.750 0.249 0.500
Mg: 0.250 0.751 0.500
Cd: 0.604 0.605 0.208
Cd: 0.396 0.395 0.792

Its space group is C2/m (12).

4.
Compound: ErMgCd4
Source: Alexandria
Functional: PBE
Structure: optimized geometry

Lattice parameters (Å, degrees): 4.235 4.235 9.274 90.00 90.00 90.00
Fractional coordinates of all 6 atoms:
Er: 0.000 0.000 0.000
Mg: 0.500 0.500 0.500
Cd: 0.500 0.000 0.740
Cd: 0.000 0.500 0.740
Cd: 0.500 0.000 0.260
Cd: 0.000 0.500 0.260

Its space group is P4/mmm (123).

Values for formation enthalpy at 0 K, eV/atom, ordered as above
-0.061 -0.184 -0.127 0.069